# PBE-GGA AsPdSe3, optimized geometry
data_AsPdSe3
_symmetry_space_group_name_H-M 'P 1 21/m 1'
_symmetry_Int_Tables_number 11
_cell_length_a 6.460
_cell_length_b 3.795
_cell_length_c 9.429
_cell_angle_alpha 90.00
_cell_angle_beta 91.92
_cell_angle_gamma 90.00
loop_
_symmetry_equiv_pos_as_xyz
'x,y,z'
'-x,-y,-z'
'-x,y+1/2,-z'
'x,-y+1/2,z'
loop_
_atom_site_label
_atom_site_type_symbol
_atom_site_fract_x
_atom_site_fract_y
_atom_site_fract_z
As1 As 0.084 0.250 0.307
Pd1 Pd 0.420 0.250 0.675
Se1 Se 0.104 0.250 0.832
Se2 Se 0.286 0.750 0.502
Se3 Se 0.407 0.250 0.177
# V   23.1 A^3/atom
# Formation energy from raw total energies   -0.168 eV per atom
# E   -4.227 eV/atom
# Polymorph energy (0 for the lowest one)   0.0 meV/atom
# Density   6013 kg/m3

# PBE-GGA KNiIrS3, optimized geometry
data_KNiIrS3
_symmetry_space_group_name_H-M 'P 1 21/m 1'
_symmetry_Int_Tables_number 11
_cell_length_a 8.064
_cell_length_b 3.678
_cell_length_c 8.995
_cell_angle_alpha 90.00
_cell_angle_beta 112.97
_cell_angle_gamma 90.00
loop_
_symmetry_equiv_pos_as_xyz
'x,y,z'
'-x,-y,-z'
'-x,y+1/2,-z'
'x,-y+1/2,z'
loop_
_atom_site_label
_atom_site_type_symbol
_atom_site_fract_x
_atom_site_fract_y
_atom_site_fract_z
K1 K 0.231 0.250 0.258
Ni1 Ni 0.087 0.250 0.610
Ir1 Ir 0.318 0.750 0.845
S1 S 0.129 0.250 0.866
S2 S 0.206 0.750 0.551
S3 S 0.480 0.750 0.134
# V   20.5 A^3/atom
# Formation energy from raw total energies   -0.578 eV per atom
# E   -5.265 eV/atom
# Density   5221 kg/m3